Material: TaGaAs2
Method: DFT, meta-GGA SCAN
State: single point on PBEsol structure

Structure (POSCAR):
```
TaGaAs2
1.0
-1.385 5.310 -2.139
-5.337 -1.994 -1.496
1.409 -0.164 6.791
Ga Ta As
2 2 4
Cartesian
-3.361 1.658 -1.818
-1.668 3.403 1.417
-3.645 -0.250 1.739
0.000 0.000 0.000
0.238 0.300 4.645
-4.831 0.184 -0.405
-2.866 3.879 -0.744
-3.166 1.942 2.815
```

Values from the calculation:
total magnetic moment: 0.000 μB/cell
energy: -30.67 eV per atom
energy of formation: 0.153 eV per atom
volume: 24.06 A^3/atom